The following is a DFT calculation (GGA+U) of crystalline BeNiI2O at its relaxed geometry.

Summary:
Total energy, eV/cell: -16.359

Geometry as POSCAR:
```
BeNiI2O
1.0
6.113 0.000 0.000
0.000 6.113 0.000
0.000 0.000 2.959
Ni Be O I
1 1 1 2
Direct
0.500 0.500 0.500
0.000 0.000 0.000
0.000 0.000 0.500
0.500 0.000 0.000
0.000 0.500 0.000
```